Below is CePuGaAg after structural relaxation, with properties calculated at the PBE level.

Lattice parameters (Å, degrees): 3.030 5.630 5.548 90.00 90.00 105.61
Last column: magnetic moment on the atom in μB.
Element x y z (fractional)
Ce 0.944 0.889 0.000  0.69
Ag 0.799 0.598 0.500  0.02
Ga 0.073 0.145 0.500  -0.01
Pu 0.196 0.393 0.000  5.40

Computed properties:
* space group: Amm2 (38)
* energy above the lowest structure with this stoichiometry: 0.244 eV/atom
* formation energy from the elements: 0.088 eV/atom